Compound: EuIn3Rh
Source: the Alexandria database
Functional: GGA-PBE
Structure: relaxed

Cell: 5.1450 5.1450 5.1450 Å, 90.00 90.00 90.00°
Last column: nearest neighbours and their distance in Å.
Atoms (fractional coordinates):
Eu 0.5000 0.5000 0.5000  12 In 3.64
In 0.0000 0.0000 0.5000  2 Rh 2.57
In 0.0000 0.5000 0.0000  2 Rh 2.57
In 0.5000 0.0000 0.0000  2 Rh 2.57
Rh 0.0000 0.0000 0.0000  6 In 2.57

Spin magnetization in μB/cell: 7.63
E_form in eV/atom: -0.3298
V in Å³/f.u.: 136.20
Symmetry: No. 221


Compound: EuTmInRh
Source: the Alexandria database
Functional: GGA-PBE
Structure: relaxed

Cell: 5.1317 5.1317 5.1317 Å, 60.00 60.00 60.00°
Last column: nearest neighbours and their distance in Å.
Atoms (fractional coordinates):
Eu 0.2500 0.2500 0.2500  4 Rh 3.14, 4 In 3.14
Tm 0.7500 0.7500 0.7500  4 In 3.14, 4 Rh 3.14
Rh 0.0000 0.0000 0.0000  4 Tm 3.14, 4 Eu 3.14
In 0.5000 0.5000 0.5000  4 Tm 3.14, 4 Eu 3.14

Spin magnetization in μB/cell: 6.90
E_form in eV/atom: -0.4166
V in Å³/f.u.: 95.56
Symmetry: No. 216


Compound: EuZnInRh
Source: the Alexandria database
Functional: GGA-PBE
Structure: relaxed

Cell: 4.8750 4.8750 4.8750 Å, 60.00 60.00 60.00°
Last column: nearest neighbours and their distance in Å.
Atoms (fractional coordinates):
Eu 0.2500 0.2500 0.2500  4 Rh 2.99, 4 Zn 2.99
Zn 0.5000 0.5000 0.5000  4 Eu 2.99, 4 In 2.99
Rh 0.0000 0.0000 0.0000  4 In 2.99, 4 Eu 2.99
In 0.7500 0.7500 0.7500  4 Rh 2.99, 4 Zn 2.99

Spin magnetization in μB/cell: 6.87
E_form in eV/atom: -0.2608
V in Å³/f.u.: 81.92
Symmetry: No. 216